# 1
DFT (PBE) results for a geometry-optimized SrV3S structure.

Lattice parameters (Å, degrees): 4.6119 4.6119 4.6119 90.00 90.00 90.00
With the nearest neighbours (Å) after each atom.
Atoms (fractional coordinates):
V: 0.5000 0.0000 0.0000  2 Sr 2.31
V: 0.0000 0.5000 0.0000  2 Sr 2.31
V: 0.0000 0.0000 0.5000  2 Sr 2.31
Sr: 0.0000 0.0000 0.0000  6 V 2.31
S: 0.5000 0.5000 0.5000  12 V 3.26

relative energy among the computed polymorphs	2282	meV per atom
formation energy from raw total energies	2.610	eV per atom

---

# 2
DFT (PBE) results for a geometry-optimized Y3NiI3 structure.

Lattice parameters (Å, degrees): 10.4510 10.4510 10.4510 109.47 109.47 109.47
With the nearest neighbours (Å) after each atom.
Atoms (fractional coordinates):
Y: 0.9758 0.7500 0.0242  2 Ni 2.74
Y: 0.5242 0.0483 0.2742  2 Ni 2.74
Y: 0.5483 0.2742 0.0242  2 Ni 2.74
Y: 0.2500 0.0242 0.4758  2 Ni 2.74
Y: 0.7258 0.4517 0.4758  2 Ni 2.74
Y: 0.7742 0.0242 0.0483  2 Ni 2.74
Y: 0.2500 0.2258 0.2742  2 Ni 2.74
Y: 0.9758 0.2258 0.4517  2 Ni 2.74
Y: 0.7258 0.2742 0.7500  2 Ni 2.74
Y: 0.9517 0.4758 0.2258  2 Ni 2.74
Y: 0.7742 0.7500 0.2258  2 Ni 2.74
Y: 0.5242 0.4758 0.7500  2 Ni 2.74
I: 0.4820 0.7410 0.9910  4 Y 3.16-3.33
I: 0.2590 0.5180 0.5090  4 Y 3.16-3.33
I: 0.2590 0.7410 0.2500  4 Y 3.16-3.33
I: 0.0180 0.5090 0.7590  4 Y 3.16-3.33
I: 0.7500 0.7590 0.7410  4 Y 3.16-3.33
I: 0.2410 0.9910 0.9820  4 Y 3.16-3.33
I: 0.7500 0.9910 0.5090  4 Y 3.16-3.33
I: 0.2410 0.2500 0.7590  4 Y 3.16-3.33
I: 0.4910 0.9820 0.7410  4 Y 3.16-3.33
I: 0.0090 0.2500 0.9910  4 Y 3.16-3.33
I: 0.0090 0.7590 0.5180  4 Y 3.16-3.33
I: 0.4910 0.5090 0.2500  4 Y 3.16-3.33
Ni: 0.0000 0.0000 0.2500  6 Y 2.74
Ni: 0.7500 0.2500 0.2500  6 Y 2.74
Ni: 0.5000 0.2500 0.5000  6 Y 2.74
Ni: 0.7500 0.5000 0.0000  6 Y 2.74

formation energy from raw total energies	-0.942	eV per atom

---

# 3
DFT (PBE) results for a geometry-optimized Ho3BiPS structure.

Lattice parameters (Å, degrees): 4.1408 7.0304 10.7781 102.31 90.00 90.00
With the nearest neighbours (Å) after each atom.
Atoms (fractional coordinates):
Bi: 0.7500 0.6551 0.6927  7 Ho 3.16-3.21
Bi: 0.2500 0.3449 0.3073  7 Ho 3.16-3.21
Ho: 0.7500 0.2401 0.5093  3 S 2.71-2.73
Ho: 0.2500 0.4425 0.8452  1 S 2.78, 3 P 2.84-2.87
Ho: 0.2500 0.9618 0.8515  1 S 2.78, 3 P 2.83-2.86
Ho: 0.2500 0.7599 0.4907  3 S 2.71-2.73
Ho: 0.7500 0.5575 0.1548  1 S 2.78, 3 P 2.84-2.87
Ho: 0.7500 0.0382 0.1485  1 S 2.78, 3 P 2.83-2.86
S: 0.7500 0.8725 0.3610  5 Ho 2.71-2.78
S: 0.2500 0.1275 0.6390  5 Ho 2.71-2.78
P: 0.7500 0.2346 0.9453  6 Ho 2.83-2.87
P: 0.2500 0.7654 0.0547  6 Ho 2.83-2.87

formation energy from raw total energies	-1.421	eV per atom

---

# 4
DFT (PBE) results for a geometry-optimized HfTaCuRu structure.

Lattice parameters (Å, degrees): 4.5304 4.5304 4.5304 60.00 60.00 60.00
With the nearest neighbours (Å) after each atom.
Atoms (fractional coordinates):
Ta: 0.5000 0.5000 0.5000  4 Ru 2.77, 4 Cu 2.77
Ru: 0.2500 0.2500 0.2500  4 Hf 2.77, 4 Ta 2.77
Hf: 0.0000 0.0000 0.0000  4 Ru 2.77, 4 Cu 2.77
Cu: 0.7500 0.7500 0.7500  4 Ta 2.77, 4 Hf 2.77

ΔE_f	-0.2136	eV/atom

---

# 5
DFT (PBE) results for a geometry-optimized Pr4TlSbH structure.

Lattice parameters (Å, degrees): 6.6377 6.6713 9.4842 90.00 110.48 90.00
With the nearest neighbours (Å) after each atom.
Atoms (fractional coordinates):
Pr: 0.4286 0.7500 0.8573  1 H 2.42
Pr: 0.0000 0.0000 0.5000  2 H 2.47
Pr: 0.5714 0.2500 0.1427  1 H 2.42
Pr: 0.0705 0.7500 0.1411  3 Tl 3.22-3.41, 2 Sb 3.40
Pr: 0.9295 0.2500 0.8589  3 Tl 3.22-3.41, 2 Sb 3.40
Pr: 0.5000 0.0000 0.5000  2 H 2.47
Pr: 0.5000 0.5000 0.5000  2 H 2.47
Pr: 0.0000 0.5000 0.5000  2 H 2.47
H: 0.2926 0.7500 0.5852  5 Pr 2.42-2.47
H: 0.7074 0.2500 0.4148  5 Pr 2.42-2.47
Sb: 0.6130 0.7500 0.2260  9 Pr 3.28-3.42
Sb: 0.3870 0.2500 0.7740  9 Pr 3.28-3.42
Tl: 0.1106 0.2500 0.2213  9 Pr 3.22-3.42
Tl: 0.8894 0.7500 0.7787  9 Pr 3.22-3.42

energy	-4.7334	eV per atom

---

# 6
DFT (PBE) results for a geometry-optimized K2AlMo structure.

Lattice parameters (Å, degrees): 5.4291 5.4291 5.4291 60.00 60.00 60.00
With the nearest neighbours (Å) after each atom.
Atoms (fractional coordinates):
K: 0.2500 0.2500 0.2500  4 K 3.32, 4 Al 3.32
K: 0.0000 0.0000 0.0000  4 Mo 3.32, 4 K 3.32
Al: 0.5000 0.5000 0.5000  4 Mo 3.32, 4 K 3.32
Mo: 0.7500 0.7500 0.7500  4 K 3.32, 4 Al 3.32

ΔE_f	1.1433	eV/atom

---

Q: Which formula does entry 4 have?
A: HfTaCuRu

---

What did the first record say?
DFT (PBE) results for a geometry-optimized SrV3S structure.

Lattice parameters (Å, degrees): 4.6119 4.6119 4.6119 90.00 90.00 90.00
With the nearest neighbours (Å) after each atom.
Atoms (fractional coordinates):
V: 0.5000 0.0000 0.0000  2 Sr 2.31
V: 0.0000 0.5000 0.0000  2 Sr 2.31
V: 0.0000 0.0000 0.5000  2 Sr 2.31
Sr: 0.0000 0.0000 0.0000  6 V 2.31
S: 0.5000 0.5000 0.5000  12 V 3.26

relative energy among the computed polymorphs	2282	meV per atom
formation energy from raw total energies	2.610	eV per atom